A plane-wave DFT calculation with PBE was carried out for Ba2MoBr after structural relaxation.

```
data_Ba2MoBr
_cell_length_a 9.425
_cell_length_b 9.425
_cell_length_c 9.425
_cell_angle_alpha 27.40
_cell_angle_beta 27.40
_cell_angle_gamma 27.40
_symmetry_space_group_name_H-M 'P 1'
_symmetry_Int_Tables_number 1
loop_
_symmetry_equiv_pos_as_xyz
'x,y,z'
loop_
_atom_site_label
_atom_site_type_symbol
_atom_site_fract_x
_atom_site_fract_y
_atom_site_fract_z
Ba1 Ba 0.246 0.246 0.246
Ba2 Ba 0.754 0.754 0.754
Mo1 Mo 0.500 0.500 0.500
Br1 Br 0.000 0.000 0.000
```

Energy relative to the elements, uncorrected = 0.063 eV per atom
D(E_F) = 0.779 states/eV/atom
Spin magnetization = 0.853 μB/atom
SG = No. 166
Raw total energy = -4.024 eV/atom

A plane-wave DFT calculation with PBE was carried out for BaMoBr2 after structural relaxation.

```
data_BaMoBr2
_cell_length_a 6.426
_cell_length_b 6.426
_cell_length_c 6.426
_cell_angle_alpha 144.40
_cell_angle_beta 127.07
_cell_angle_gamma 65.43
_symmetry_space_group_name_H-M 'P 1'
_symmetry_Int_Tables_number 1
loop_
_symmetry_equiv_pos_as_xyz
'x,y,z'
loop_
_atom_site_label
_atom_site_type_symbol
_atom_site_fract_x
_atom_site_fract_y
_atom_site_fract_z
Ba1 Ba 0.000 0.000 0.000
Mo1 Mo 0.500 0.500 0.000
Br1 Br 0.334 0.834 0.500
Br2 Br 0.666 0.166 0.500
```

Energy relative to the elements, uncorrected = -0.275 eV per atom
D(E_F) = 0.722 states/eV/atom
Spin magnetization = 0.502 μB/atom
SG = No. 71
Raw total energy = -4.300 eV/atom

A plane-wave DFT calculation with PBE was carried out for BaMo2Br after structural relaxation.

```
data_BaMo2Br
_cell_length_a 7.647
_cell_length_b 7.647
_cell_length_c 7.647
_cell_angle_alpha 32.01
_cell_angle_beta 32.01
_cell_angle_gamma 32.01
_symmetry_space_group_name_H-M 'P 1'
_symmetry_Int_Tables_number 1
loop_
_symmetry_equiv_pos_as_xyz
'x,y,z'
loop_
_atom_site_label
_atom_site_type_symbol
_atom_site_fract_x
_atom_site_fract_y
_atom_site_fract_z
Ba1 Ba 0.000 0.000 0.000
Mo1 Mo 0.456 0.456 0.456
Mo2 Mo 0.788 0.788 0.788
Br1 Br 0.222 0.222 0.222
```

Energy relative to the elements, uncorrected = 0.365 eV per atom
D(E_F) = 0.587 states/eV/atom
Spin magnetization = 0.000 μB/atom
SG = No. 160
Raw total energy = -5.950 eV/atom

A plane-wave DFT calculation with PBE was carried out for BaMo2Br after structural relaxation.

```
data_BaMo2Br
_cell_length_a 3.331
_cell_length_b 4.695
_cell_length_c 6.472
_cell_angle_alpha 90.00
_cell_angle_beta 90.00
_cell_angle_gamma 90.00
_symmetry_space_group_name_H-M 'P 1'
_symmetry_Int_Tables_number 1
loop_
_symmetry_equiv_pos_as_xyz
'x,y,z'
loop_
_atom_site_label
_atom_site_type_symbol
_atom_site_fract_x
_atom_site_fract_y
_atom_site_fract_z
Ba1 Ba 0.000 0.000 0.000
Mo1 Mo 0.500 0.500 0.334
Mo2 Mo 0.500 0.500 0.666
Br1 Br 0.000 0.000 0.500
```

Energy relative to the elements, uncorrected = 1.060 eV per atom
D(E_F) = 1.093 states/eV/atom
Spin magnetization = 0.000 μB/atom
SG = No. 47
Raw total energy = -5.255 eV/atom

A plane-wave DFT calculation with PBE was carried out for BaMo2Br after structural relaxation.

```
data_BaMo2Br
_cell_length_a 6.810
_cell_length_b 6.810
_cell_length_c 5.615
_cell_angle_alpha 113.74
_cell_angle_beta 113.74
_cell_angle_gamma 28.46
_symmetry_space_group_name_H-M 'P 1'
_symmetry_Int_Tables_number 1
loop_
_symmetry_equiv_pos_as_xyz
'x,y,z'
loop_
_atom_site_label
_atom_site_type_symbol
_atom_site_fract_x
_atom_site_fract_y
_atom_site_fract_z
Ba1 Ba 0.000 0.000 0.000
Mo1 Mo 0.222 0.222 0.838
Mo2 Mo 0.778 0.778 0.162
Br1 Br 0.500 0.500 0.500
```

Energy relative to the elements, uncorrected = 0.486 eV per atom
D(E_F) = 0.689 states/eV/atom
Spin magnetization = 0.000 μB/atom
SG = No. 12
Raw total energy = -5.828 eV/atom

A plane-wave DFT calculation with PBE was carried out for Ba2MoBr after structural relaxation.

```
data_Ba2MoBr
_cell_length_a 7.606
_cell_length_b 7.606
_cell_length_c 7.606
_cell_angle_alpha 110.52
_cell_angle_beta 110.52
_cell_angle_gamma 107.39
_symmetry_space_group_name_H-M 'P 1'
_symmetry_Int_Tables_number 1
loop_
_symmetry_equiv_pos_as_xyz
'x,y,z'
loop_
_atom_site_label
_atom_site_type_symbol
_atom_site_fract_x
_atom_site_fract_y
_atom_site_fract_z
Ba1 Ba 0.123 0.625 0.998
Ba2 Ba 0.375 0.373 0.498
Ba3 Ba 0.627 0.125 0.002
Ba4 Ba 0.875 0.877 0.502
Mo1 Mo 0.000 0.000 0.000
Mo2 Mo 0.750 0.250 0.500
Br1 Br 0.250 0.750 0.500
Br2 Br 0.500 0.500 0.000
```

Energy relative to the elements, uncorrected = 0.295 eV per atom
D(E_F) = 1.041 states/eV/atom
Spin magnetization = 0.768 μB/atom
SG = No. 122
Raw total energy = -3.792 eV/atom

A plane-wave DFT calculation with PBE was carried out for BaMoBr2 after structural relaxation.

```
data_BaMoBr2
_cell_length_a 4.438
_cell_length_b 4.438
_cell_length_c 6.761
_cell_angle_alpha 90.00
_cell_angle_beta 90.00
_cell_angle_gamma 90.00
_symmetry_space_group_name_H-M 'P 1'
_symmetry_Int_Tables_number 1
loop_
_symmetry_equiv_pos_as_xyz
'x,y,z'
loop_
_atom_site_label
_atom_site_type_symbol
_atom_site_fract_x
_atom_site_fract_y
_atom_site_fract_z
Ba1 Ba 0.000 0.000 0.000
Mo1 Mo 0.500 0.500 0.652
Br1 Br 0.000 0.000 0.519
Br2 Br 0.500 0.500 0.193
```

Energy relative to the elements, uncorrected = -0.156 eV per atom
D(E_F) = 0.292 states/eV/atom
Spin magnetization = 1.465 μB/atom
SG = No. 99
Raw total energy = -4.181 eV/atom

A plane-wave DFT calculation with PBE was carried out for Ba2MoBr after structural relaxation.

```
data_Ba2MoBr
_cell_length_a 5.966
_cell_length_b 5.966
_cell_length_c 3.768
_cell_angle_alpha 90.00
_cell_angle_beta 90.00
_cell_angle_gamma 90.00
_symmetry_space_group_name_H-M 'P 1'
_symmetry_Int_Tables_number 1
loop_
_symmetry_equiv_pos_as_xyz
'x,y,z'
loop_
_atom_site_label
_atom_site_type_symbol
_atom_site_fract_x
_atom_site_fract_y
_atom_site_fract_z
Ba1 Ba 0.000 0.500 0.000
Ba2 Ba 0.500 0.000 0.000
Mo1 Mo 0.000 0.000 0.499
Br1 Br 0.500 0.500 0.500
```

Energy relative to the elements, uncorrected = 0.103 eV per atom
D(E_F) = 0.922 states/eV/atom
Spin magnetization = 0.706 μB/atom
SG = No. 99
Raw total energy = -3.985 eV/atom

A plane-wave DFT calculation with PBE was carried out for BaMoBr2 after structural relaxation.

```
data_BaMoBr2
_cell_length_a 5.294
_cell_length_b 5.294
_cell_length_c 4.305
_cell_angle_alpha 90.00
_cell_angle_beta 90.00
_cell_angle_gamma 90.00
_symmetry_space_group_name_H-M 'P 1'
_symmetry_Int_Tables_number 1
loop_
_symmetry_equiv_pos_as_xyz
'x,y,z'
loop_
_atom_site_label
_atom_site_type_symbol
_atom_site_fract_x
_atom_site_fract_y
_atom_site_fract_z
Ba1 Ba 0.000 0.000 0.000
Mo1 Mo 0.500 0.500 0.000
Br1 Br 0.000 0.500 0.500
Br2 Br 0.500 0.000 0.500
```

Energy relative to the elements, uncorrected = -0.137 eV per atom
D(E_F) = 0.439 states/eV/atom
Spin magnetization = 1.281 μB/atom
SG = No. 123
Raw total energy = -4.161 eV/atom

A plane-wave DFT calculation with PBE was carried out for BaMo2Br after structural relaxation.

```
data_BaMo2Br
_cell_length_a 11.292
_cell_length_b 11.292
_cell_length_c 11.292
_cell_angle_alpha 157.23
_cell_angle_beta 157.23
_cell_angle_gamma 32.42
_symmetry_space_group_name_H-M 'P 1'
_symmetry_Int_Tables_number 1
loop_
_symmetry_equiv_pos_as_xyz
'x,y,z'
loop_
_atom_site_label
_atom_site_type_symbol
_atom_site_fract_x
_atom_site_fract_y
_atom_site_fract_z
Ba1 Ba 0.000 0.000 0.000
Ba2 Ba 0.750 0.250 0.500
Mo1 Mo 0.281 0.125 0.656
Mo2 Mo 0.375 0.719 0.844
Mo3 Mo 0.469 0.625 0.344
Mo4 Mo 0.875 0.531 0.156
Br1 Br 0.250 0.750 0.500
Br2 Br 0.500 0.500 0.000
```

Energy relative to the elements, uncorrected = 0.849 eV per atom
D(E_F) = 0.946 states/eV/atom
Spin magnetization = 0.000 μB/atom
SG = No. 122
Raw total energy = -5.466 eV/atom

A plane-wave DFT calculation with PBE was carried out for BaMoBr2 after structural relaxation.

```
data_BaMoBr2
_cell_length_a 10.237
_cell_length_b 10.237
_cell_length_c 10.237
_cell_angle_alpha 20.01
_cell_angle_beta 20.01
_cell_angle_gamma 20.01
_symmetry_space_group_name_H-M 'P 1'
_symmetry_Int_Tables_number 1
loop_
_symmetry_equiv_pos_as_xyz
'x,y,z'
loop_
_atom_site_label
_atom_site_type_symbol
_atom_site_fract_x
_atom_site_fract_y
_atom_site_fract_z
Ba1 Ba 0.000 0.000 0.000
Mo1 Mo 0.500 0.500 0.500
Br1 Br 0.417 0.417 0.417
Br2 Br 0.583 0.583 0.583
```

Energy relative to the elements, uncorrected = 0.112 eV per atom
D(E_F) = 0.825 states/eV/atom
Spin magnetization = 0.000 μB/atom
SG = No. 166
Raw total energy = -3.913 eV/atom

A plane-wave DFT calculation with PBE was carried out for Ba2MoBr after structural relaxation.

```
data_Ba2MoBr
_cell_length_a 4.810
_cell_length_b 4.810
_cell_length_c 6.661
_cell_angle_alpha 90.00
_cell_angle_beta 90.00
_cell_angle_gamma 90.00
_symmetry_space_group_name_H-M 'P 1'
_symmetry_Int_Tables_number 1
loop_
_symmetry_equiv_pos_as_xyz
'x,y,z'
loop_
_atom_site_label
_atom_site_type_symbol
_atom_site_fract_x
_atom_site_fract_y
_atom_site_fract_z
Ba1 Ba 0.000 0.000 0.000
Ba2 Ba 0.500 0.500 0.500
Mo1 Mo 0.000 0.000 0.500
Br1 Br 0.500 0.500 0.000
```

Energy relative to the elements, uncorrected = 0.108 eV per atom
D(E_F) = 0.890 states/eV/atom
Spin magnetization = 0.784 μB/atom
SG = No. 123
Raw total energy = -3.979 eV/atom